Entry a
Tb4Y4Tm3: relaxed, GGA-PBE.

- DOS at the Fermi energy: 1.935 states/eV/atom
- Size of the total moment: 0.0 μB/f.u.

Structure (POSCAR):
```
Tb4Y4Tm3
1.0
17.913 -1.758 0.000
17.913 1.758 0.000
-0.866 0.000 5.510
Tb Y Tm
4 4 3
Direct
0.046 0.046 0.045
0.180 0.180 0.679
0.820 0.820 0.321
0.954 0.954 0.955
0.090 0.090 0.589
0.233 0.233 0.233
0.767 0.767 0.767
0.910 0.910 0.411
0.364 0.364 0.864
0.500 0.500 0.500
0.636 0.636 0.136
```

=====

Entry b
Tb4Y4Tm3: relaxed, GGA-PBE.

- DOS at the Fermi energy: 1.741 states/eV/atom
- Size of the total moment: 0.0 μB/f.u.

Structure (POSCAR):
```
Tb4Y4Tm3
1.0
-1.790 4.598 10.898
1.790 -4.598 10.898
1.790 4.598 -10.898
Tb Y Tm
4 4 3
Direct
0.038 0.859 0.180
0.321 0.141 0.180
0.679 0.859 0.820
0.962 0.141 0.820
0.257 0.757 0.500
0.317 0.000 0.317
0.683 0.000 0.683
0.743 0.243 0.500
0.000 0.500 0.500
0.391 0.391 0.000
0.609 0.609 0.000
```

=====

Preferred: entry a; penalty for the next structure: 70 meV per atom.

=====

Entry a
TbY2Tm7: relaxed, GGA-PBE.

- DOS at the Fermi energy: 1.331 states/eV/atom
- Size of the total moment: 0.0 μB/f.u.

Structure (POSCAR):
```
TbY2Tm7
1.0
4.256 -8.791 0.000
4.256 8.791 0.000
0.000 0.000 5.019
Tb Y Tm
1 2 7
Direct
0.000 0.000 0.000
0.297 0.703 0.500
0.703 0.297 0.500
0.076 0.285 0.500
0.191 0.809 0.000
0.285 0.076 0.500
0.500 0.500 0.500
0.715 0.924 0.500
0.809 0.191 0.000
0.924 0.715 0.500
```

=====

Entry b
TbY2Tm7: relaxed, GGA-PBE.

- DOS at the Fermi energy: 1.590 states/eV/atom
- Size of the total moment: 0.0 μB/f.u.

Structure (POSCAR):
```
TbY2Tm7
1.0
3.029 -14.730 0.000
3.029 14.730 0.000
-0.036 0.000 3.470
Tb Y Tm
1 2 7
Direct
0.000 0.000 0.000
0.208 0.792 0.500
0.792 0.208 0.500
0.147 0.346 0.268
0.309 0.691 0.000
0.346 0.147 0.268
0.500 0.500 0.500
0.654 0.853 0.732
0.691 0.309 0.000
0.853 0.654 0.732
```

=====

Preferred: entry b; penalty for the next structure: 591 meV per atom.

=====

Entry a
Tb7YTm12: relaxed, GGA-PBE.

- DOS at the Fermi energy: 1.713 states/eV/atom
- Size of the total moment: 0.0 μB/f.u.

Structure (POSCAR):
```
Tb7YTm12
1.0
5.910 3.412 5.317
-5.910 3.412 5.317
0.000 -6.824 5.317
Tb Y Tm
7 1 12
Direct
0.000 0.000 0.000
0.102 0.429 0.345
0.345 0.102 0.429
0.429 0.345 0.102
0.571 0.655 0.898
0.655 0.898 0.571
0.898 0.571 0.655
0.500 0.500 0.500
0.003 0.880 0.367
0.120 0.633 0.997
0.228 0.351 0.759
0.241 0.772 0.649
0.351 0.759 0.228
0.367 0.003 0.880
0.633 0.997 0.120
0.649 0.241 0.772
0.759 0.228 0.351
0.772 0.649 0.241
0.880 0.367 0.003
0.997 0.120 0.633
```

=====

Entry b
Tb7YTm12: relaxed, GGA-PBE.

- DOS at the Fermi energy: 1.250 states/eV/atom
- Size of the total moment: 0.0 μB/f.u.

Structure (POSCAR):
```
Tb7YTm12
1.0
-5.560 5.560 5.560
5.560 -5.560 5.560
5.560 5.560 -5.560
Tb Y Tm
7 1 12
Direct
0.000 0.000 0.500
0.000 0.500 0.000
0.000 0.500 0.500
0.500 0.000 0.000
0.500 0.000 0.500
0.500 0.500 0.000
0.500 0.500 0.500
0.000 0.000 0.000
0.001 0.750 0.251
0.250 0.251 0.501
0.250 0.749 0.999
0.251 0.001 0.750
0.251 0.501 0.250
0.499 0.750 0.749
0.501 0.250 0.251
0.749 0.499 0.750
0.749 0.999 0.250
0.750 0.251 0.001
0.750 0.749 0.499
0.999 0.250 0.749
```

=====

Preferred: entry a; penalty for the next structure: 486 meV per atom.

=====

Entry a
Tb5Y4Tm2: relaxed, GGA-PBE.

- DOS at the Fermi energy: 1.718 states/eV/atom
- Size of the total moment: 0.0 μB/f.u.

Structure (POSCAR):
```
Tb5Y4Tm2
1.0
5.517 -3.629 0.000
5.517 3.629 0.000
-2.796 0.000 8.824
Tb Y Tm
5 4 2
Direct
0.000 0.000 0.000
0.211 0.656 0.724
0.344 0.789 0.276
0.656 0.211 0.724
0.789 0.344 0.276
0.311 0.311 0.997
0.331 0.331 0.379
0.669 0.669 0.621
0.689 0.689 0.003
0.146 0.146 0.618
0.854 0.854 0.382
```

=====

Entry b
Tb5Y4Tm2: relaxed, GGA-PBE.

- DOS at the Fermi energy: 1.635 states/eV/atom
- Size of the total moment: 0.0 μB/f.u.

Structure (POSCAR):
```
Tb5Y4Tm2
1.0
-1.752 4.511 11.623
1.752 -4.511 11.623
1.752 4.511 -11.623
Tb Y Tm
5 4 2
Direct
0.000 0.000 0.000
0.053 0.354 0.699
0.346 0.646 0.699
0.654 0.354 0.301
0.947 0.646 0.301
0.309 0.500 0.809
0.402 0.902 0.500
0.598 0.098 0.500
0.691 0.500 0.191
0.269 0.769 0.500
0.731 0.231 0.500
```

=====

Preferred: entry a; penalty for the next structure: 130 meV per atom.

=====

Entry a
Tb3Y2Tm2: relaxed, GGA-PBE.

- DOS at the Fermi energy: 1.348 states/eV/atom
- Size of the total moment: 0.0 μB/f.u.

Structure (POSCAR):
```
Tb3Y2Tm2
1.0
7.731 -1.769 0.000
7.731 1.769 0.000
-3.251 0.000 8.047
Tb Y Tm
3 2 2
Direct
0.000 0.000 0.000
0.286 0.286 0.856
0.714 0.714 0.144
0.429 0.429 0.288
0.571 0.571 0.712
0.144 0.144 0.429
0.856 0.856 0.571
```

=====

Entry b
Tb3Y2Tm2: relaxed, GGA-PBE.

- DOS at the Fermi energy: 1.905 states/eV/atom
- Size of the total moment: 0.0 μB/f.u.

Structure (POSCAR):
```
Tb3Y2Tm2
1.0
11.700 -2.719 0.000
11.700 2.719 0.000
-0.534 0.000 3.500
Tb Y Tm
3 2 2
Direct
0.000 0.000 0.000
0.275 0.275 0.775
0.725 0.725 0.225
0.420 0.420 0.419
0.580 0.580 0.581
0.142 0.142 0.144
0.858 0.858 0.856
```

=====

Preferred: entry a; penalty for the next structure: 21 meV per atom.

=====

Entry a
Tb5Y5Tm2: relaxed, GGA-PBE.

- DOS at the Fermi energy: 1.908 states/eV/atom
- Size of the total moment: 0.0 μB/f.u.

Structure (POSCAR):
```
Tb5Y5Tm2
1.0
4.801 -2.854 0.000
4.801 2.854 0.000
-3.297 0.000 14.278
Tb Y Tm
5 5 2
Direct
0.000 0.000 0.000
0.186 0.186 0.580
0.263 0.263 0.826
0.737 0.737 0.174
0.814 0.814 0.420
0.119 0.119 0.304
0.357 0.357 0.061
0.500 0.500 0.500
0.643 0.643 0.939
0.881 0.881 0.696
0.451 0.451 0.287
0.549 0.549 0.713
```

=====

Entry b
Tb5Y5Tm2: relaxed, GGA-PBE.

- DOS at the Fermi energy: 1.363 states/eV/atom
- Size of the total moment: 0.0 μB/f.u.

Structure (POSCAR):
```
Tb5Y5Tm2
1.0
7.532 -2.513 0.000
7.532 2.513 0.000
-5.020 0.000 10.050
Tb Y Tm
5 5 2
Direct
0.000 0.000 0.000
0.082 0.082 0.750
0.167 0.167 0.500
0.833 0.833 0.500
0.918 0.918 0.250
0.249 0.249 0.250
0.334 0.334 0.000
0.500 0.500 0.500
0.666 0.666 0.000
0.751 0.751 0.750
0.417 0.417 0.749
0.583 0.583 0.251
```

=====

Preferred: entry b; penalty for the next structure: 176 meV per atom.

=====

Entry a
Tb6YTm3: relaxed, GGA-PBE.

- DOS at the Fermi energy: 1.588 states/eV/atom
- Size of the total moment: 0.0 μB/f.u.

Structure (POSCAR):
```
Tb6YTm3
1.0
4.804 -10.455 0.000
4.804 10.455 0.000
0.000 0.000 6.345
Tb Y Tm
12 2 6
Direct
0.015 0.985 0.500
0.105 0.544 0.013
0.260 0.379 0.257
0.302 0.698 0.475
0.379 0.260 0.757
0.456 0.895 0.013
0.544 0.105 0.513
0.621 0.740 0.257
0.698 0.302 0.975
0.740 0.621 0.757
0.895 0.456 0.513
0.985 0.015 0.000
0.160 0.840 0.700
0.840 0.160 0.200
0.043 0.295 0.676
0.295 0.043 0.176
0.419 0.581 0.780
0.581 0.419 0.280
0.705 0.957 0.676
0.957 0.705 0.176
```

=====

Entry b
Tb6YTm3: relaxed, GGA-PBE.

- DOS at the Fermi energy: 1.450 states/eV/atom
- Size of the total moment: 0.0 μB/f.u.

Structure (POSCAR):
```
Tb6YTm3
1.0
5.470 -9.477 0.000
5.470 9.477 0.000
0.000 0.000 6.176
Tb Y Tm
12 2 6
Direct
0.043 0.957 0.500
0.050 0.472 0.941
0.279 0.721 0.233
0.288 0.380 0.126
0.380 0.288 0.626
0.472 0.050 0.441
0.528 0.950 0.941
0.620 0.712 0.126
0.712 0.620 0.626
0.721 0.279 0.733
0.950 0.528 0.441
0.957 0.043 0.000
0.201 0.799 0.719
0.799 0.201 0.219
0.059 0.278 0.552
0.278 0.059 0.052
0.389 0.611 0.660
0.611 0.389 0.160
0.722 0.941 0.552
0.941 0.722 0.052
```

=====

Preferred: entry a; penalty for the next structure: 29 meV per atom.

=====

Entry a
Tb3Y3Tm: relaxed, GGA-PBE.

- DOS at the Fermi energy: 1.454 states/eV/atom
- Size of the total moment: 0.0 μB/f.u.

Structure (POSCAR):
```
Tb3Y3Tm
1.0
3.094 1.786 14.145
-3.094 1.786 14.145
0.000 -3.573 14.145
Tb Y Tm
6 6 2
Direct
0.133 0.464 0.801
0.199 0.867 0.536
0.464 0.801 0.133
0.536 0.199 0.867
0.801 0.133 0.464
0.867 0.536 0.199
0.066 0.732 0.400
0.268 0.600 0.934
0.400 0.066 0.732
0.600 0.934 0.268
0.732 0.400 0.066
0.934 0.268 0.600
0.333 0.333 0.333
0.667 0.667 0.667
```

=====

Entry b
Tb3Y3Tm: relaxed, GGA-PBE.

- DOS at the Fermi energy: 2.131 states/eV/atom
- Size of the total moment: 0.0 μB/f.u.

Structure (POSCAR):
```
Tb3Y3Tm
1.0
9.589 0.000 0.000
-4.794 8.304 0.000
0.000 0.000 5.663
Tb Y Tm
6 6 2
Direct
0.048 0.239 0.250
0.190 0.952 0.250
0.239 0.190 0.750
0.761 0.810 0.250
0.810 0.048 0.750
0.952 0.761 0.750
0.095 0.475 0.750
0.380 0.905 0.750
0.475 0.380 0.250
0.525 0.620 0.750
0.620 0.095 0.250
0.905 0.525 0.250
0.333 0.667 0.250
0.667 0.333 0.750
```

=====

Preferred: entry b; penalty for the next structure: 141 meV per atom.

=====

Entry a
Tb5Y2Tm: relaxed, GGA-PBE.

- DOS at the Fermi energy: 1.213 states/eV/atom
- Size of the total moment: 0.0 μB/f.u.

Structure (POSCAR):
```
Tb5Y2Tm
1.0
7.113 0.000 0.000
0.000 14.230 0.000
0.000 0.000 5.019
Tb Y Tm
10 4 2
Direct
0.000 0.000 0.000
0.000 0.250 0.000
0.000 0.750 0.000
0.250 0.125 0.500
0.250 0.625 0.500
0.500 0.250 0.000
0.500 0.500 0.000
0.500 0.750 0.000
0.750 0.375 0.500
0.750 0.875 0.500
0.250 0.375 0.500
0.250 0.875 0.500
0.750 0.125 0.500
0.750 0.625 0.500
0.000 0.500 0.000
0.500 0.000 0.000
```

=====

Entry b
Tb5Y2Tm: relaxed, GGA-PBE.

- DOS at the Fermi energy: 1.622 states/eV/atom
- Size of the total moment: 0.0 μB/f.u.

Structure (POSCAR):
```
Tb5Y2Tm
1.0
2.820 -8.167 0.000
2.820 8.167 0.000
0.000 0.000 11.408
Tb Y Tm
10 4 2
Direct
0.045 0.955 0.613
0.045 0.955 0.887
0.394 0.606 0.250
0.412 0.588 0.580
0.412 0.588 0.920
0.588 0.412 0.080
0.588 0.412 0.420
0.606 0.394 0.750
0.955 0.045 0.113
0.955 0.045 0.387
0.213 0.787 0.081
0.213 0.787 0.419
0.787 0.213 0.581
0.787 0.213 0.919
0.228 0.772 0.750
0.772 0.228 0.250
```

=====

Preferred: entry a; penalty for the next structure: 110 meV per atom.